# 1
{"formula": "InReSb2", "functional": "PBE", "state": "optimized geometry", "e_form_raw_kj_per_mol_atoms": 81, "final_energy_ev_per_atom": -5.02, "m_tot_mub_per_fu": 0.00, "vol_a3_per_cell": 86.11, "lattice": [[-2.238, 2.238, 4.299], [2.238, -2.238, 4.299], [2.238, 2.238, -4.299]], "species": ["In", "Re", "Sb", "Sb"], "frac_coords": [[0.000, 0.000, 0.000], [0.250, 0.750, 0.500], [0.500, 0.500, 0.000], [0.750, 0.250, 0.500]]}


# 2
{"formula": "In2Re2Sb", "functional": "PBE", "state": "optimized geometry", "e_form_raw_kj_per_mol_atoms": 61, "final_energy_ev_per_atom": -6.27, "m_tot_mub_per_fu": 0.00, "vol_a3_per_cell": 113.59, "e_above_lowest_polymorph_kj_per_mol_fu": 0.0, "lattice": [[-1.794, 1.794, 8.828], [1.794, -1.794, 8.828], [1.794, 1.794, -8.828]], "species": ["In", "In", "Re", "Re", "Sb"], "frac_coords": [[0.116, 0.116, 0.000], [0.884, 0.884, 0.000], [0.250, 0.750, 0.500], [0.750, 0.250, 0.500], [0.500, 0.500, 0.000]]}


# 3
{"formula": "InReSb2", "functional": "PBE", "state": "optimized geometry", "e_form_raw_kj_per_mol_atoms": 32, "final_energy_ev_per_atom": -5.53, "m_tot_mub_per_fu": 0.00, "vol_a3_per_cell": 96.61, "lattice": [[-1.620, 2.326, 6.410], [1.620, -2.326, 6.410], [1.620, 2.326, -6.410]], "species": ["In", "Re", "Sb", "Sb"], "frac_coords": [[0.000, 0.000, 0.000], [0.500, 0.500, 0.000], [0.325, 0.825, 0.500], [0.675, 0.175, 0.500]]}


# 4
{"formula": "InReSb2", "functional": "PBE", "state": "optimized geometry", "e_form_raw_kj_per_mol_atoms": 22, "final_energy_ev_per_atom": -5.63, "m_tot_mub_per_fu": 0.00, "vol_a3_per_cell": 91.28, "lattice": [[3.293, 0.000, 0.000], [0.000, 3.293, 0.000], [0.000, 0.000, 8.417]], "species": ["In", "Re", "Sb", "Sb"], "frac_coords": [[0.000, 0.000, 0.000], [0.000, 0.000, 0.500], [0.500, 0.500, 0.306], [0.500, 0.500, 0.694]]}


# 5
{"formula": "InReSb2", "functional": "PBE", "state": "optimized geometry", "e_form_raw_kj_per_mol_atoms": 82, "final_energy_ev_per_atom": -5.01, "m_tot_mub_per_fu": 0.95, "vol_a3_per_cell": 86.91, "lattice": [[4.947, 0.000, 0.000], [0.000, 4.947, 0.000], [0.000, 0.000, 3.552]], "species": ["In", "Re", "Sb", "Sb"], "frac_coords": [[0.000, 0.000, 0.000], [0.500, 0.500, 0.000], [0.000, 0.500, 0.500], [0.500, 0.000, 0.500]]}


# 6
{"formula": "InReSb2", "functional": "PBE", "state": "optimized geometry", "e_form_raw_kj_per_mol_atoms": 82, "final_energy_ev_per_atom": -5.01, "m_tot_mub_per_fu": 0.00, "vol_a3_per_cell": 86.18, "lattice": [[0.000, 3.506, 3.506], [3.506, 0.000, 3.506], [3.506, 3.506, 0.000]], "species": ["In", "Re", "Sb", "Sb"], "frac_coords": [[0.000, 0.000, 0.000], [0.250, 0.250, 0.250], [0.500, 0.500, 0.500], [0.750, 0.750, 0.750]]}